First-principles (PBE) data for a relaxed Pm6ScHg2 crystal, as listed in Alexandria via LeMat-Bulk.

The space group is C2/m (No. 12) and the conventional cell measures 12.747, 3.724 and 12.021 Å, with angles of 90.00, 108.15 and 90.00 degrees. The distinct sites, in fractional coordinates, are Pm at (0.026, 0.000, 0.335), Pm at (0.182, 0.500, 0.878), Pm at (0.191, 0.500, 0.594), Sc at (0.000, 0.000, 0.000) and Hg at (0.132, 0.500, 0.180).

The calculated volume comes out at 30.13 Å³ per atom. The calculated formation energy comes out at -194 meV per atom.



First-principles (PBE) data for a relaxed Zn2CdGa crystal, as listed in Alexandria via LeMat-Bulk.

The space group is Cmcm (No. 63) and the conventional cell measures 4.171, 10.232 and 6.985 Å, with angles of 90.00, 90.00 and 90.00 degrees. The distinct sites, in fractional coordinates, are Zn at (0.000, 0.126, 0.062), Cd at (0.000, 0.450, 0.250) and Ga at (0.000, 0.259, 0.750).

The calculated volume comes out at 18.63 Å³ per atom. The polymorph energy (0 for the lowest one) comes out at 0 meV per atom. The calculated formation energy comes out at 73 meV per atom.



First-principles (PBE) data for a relaxed AgHgI2 crystal, as listed in Alexandria via LeMat-Bulk.

The space group is P1 (No. 1) and the conventional cell measures 4.575, 6.575 and 11.199 Å, with angles of 106.13, 91.02 and 91.35 degrees. The distinct sites, in fractional coordinates, are Ag at (0.000, 0.000, 0.000), Ag at (0.478, 0.486, 0.719), Hg at (0.932, 0.322, 0.404), Hg at (0.975, 0.243, 0.817), I at (0.065, 0.392, 0.182), I at (0.466, 0.108, 0.491), I at (0.493, 0.741, 0.972) and I at (0.982, 0.682, 0.622).

Its formation energy from raw total energies is -202 meV per atom. The calculated volume comes out at 40.43 Å³ per atom. The polymorph energy (0 for the lowest one) comes out at 34 meV per atom.